A:
VASP calculation (PBE) on a relaxed TlTcOF2 crystal.

Cell lengths 4.5889, 4.5889, 4.2102 Å; angles 90.00, 90.00, 90.00 degrees
Sites, in units of the cell vectors:
Tl (0.0000, 0.0000, 0.0000)
Tc (0.5000, 0.5000, 0.5000)
O (0.0000, 0.0000, 0.5000)
F (0.0000, 0.5000, 0.0000)
F (0.5000, 0.0000, 0.0000)

Results
**Density of states at the Fermi level**: 1.963 states/eV/f.u.

=====

B:
VASP calculation (PBE) on a relaxed TlTcOF2 crystal.

Cell lengths 4.4075, 4.4075, 3.8233 Å; angles 90.00, 90.00, 90.00 degrees
Sites, in units of the cell vectors:
Tl (0.0000, 0.0000, 0.0000)
Tc (0.5000, 0.5000, 0.5000)
O (0.5000, 0.5000, 0.0000)
F (0.0000, 0.5000, 0.5000)
F (0.5000, 0.0000, 0.5000)

Results
**Density of states at the Fermi level**: 2.072 states/eV/f.u.

=====

On energetic grounds, B is preferred over the next structure by 1100 meV per atom.